Computed, not measured: a relaxed structure of Dy4Er4Sc at the GGA-PBE level of DFT.

Output
**Formation energy from the elements**: 0.28 eV per formula unit
**Crystal system**: tetragonal

Cell lengths 7.8212, 7.8212, 7.8212 Å; angles 95.71, 95.71, 143.21 degrees
Atoms (fractional coordinates):
Dy 0.0000 0.3308 0.3308
Dy 0.0000 0.6692 0.6692
Dy 0.3308 0.0000 0.3308
Dy 0.6692 0.0000 0.6692
Er 0.3354 0.3354 0.6707
Er 0.3354 0.6646 0.0000
Er 0.6646 0.3354 0.0000
Er 0.6646 0.6646 0.3293
Sc 0.0000 0.0000 0.0000

=====

Computed, not measured: a relaxed structure of CaPdSe at the GGA-PBE level of DFT.

Output
**Crystal system**: monoclinic
**E_form (uncorrected)**: -105 kJ/mol of atoms
**Distance to the lowest polymorph of the same formula**: 0.071 eV/atom

Cell lengths 7.5891, 4.6176, 8.1153 Å; angles 90.00, 108.61, 90.00 degrees
Atoms (fractional coordinates):
Ca 0.0000 0.0000 0.0000
Ca 0.0320 0.5000 0.5886
Ca 0.5000 0.5000 0.0000
Ca 0.5320 0.0000 0.5886
Pd 0.1327 0.0000 0.3611
Pd 0.4138 0.0000 0.1780
Pd 0.6327 0.5000 0.3611
Pd 0.9138 0.5000 0.1780
Se 0.2775 0.0000 0.8232
Se 0.2805 0.5000 0.3636
Se 0.7775 0.5000 0.8232
Se 0.7805 0.0000 0.3636

=====

Computed, not measured: a relaxed structure of As2PtRh at the GGA-PBE level of DFT.

Output
**Formation energy from the elements**: -0.44 eV per formula unit
**Crystal system**: trigonal
**Distance to the lowest polymorph of the same formula**: 0.156 eV/atom

Cell lengths 3.1325, 3.1325, 22.9618 Å; angles 90.00, 90.00, 120.00 degrees
Atoms (fractional coordinates):
As 0.0000 0.0000 0.2483
As 0.0000 0.0000 0.7517
As 0.3333 0.6667 0.4184
As 0.3333 0.6667 0.9150
As 0.6667 0.3333 0.0850
As 0.6667 0.3333 0.5816
Pt 0.0000 0.0000 0.0000
Pt 0.3333 0.6667 0.6667
Pt 0.6667 0.3333 0.3333
Rh 0.0000 0.0000 0.5000
Rh 0.3333 0.6667 0.1667
Rh 0.6667 0.3333 0.8333

=====

Computed, not measured: a relaxed structure of Pm2YScSb4 at the GGA-PBE level of DFT.

Output
**Crystal system**: monoclinic
**E_form (uncorrected)**: -106 kJ/mol of atoms

Cell lengths 7.5905, 4.3961, 7.6090 Å; angles 90.00, 109.53, 90.00 degrees
Atoms (fractional coordinates):
Pm 0.0000 0.0000 0.0000
Pm 0.0000 0.5000 0.5000
Y 0.5000 0.0000 0.5000
Sc 0.5000 0.5000 0.0000
Sb 0.2616 0.5000 0.2472
Sb 0.2666 0.0000 0.7622
Sb 0.7334 0.0000 0.2378
Sb 0.7384 0.5000 0.7528

=====

Computed, not measured: a relaxed structure of Rb2MnCu at the GGA-PBE level of DFT.

Output
**Formation energy from the elements**: 3.70 eV per formula unit
**Crystal system**: cubic
**Distance to the lowest polymorph of the same formula**: 0.237 eV/atom

Cell lengths 8.5924, 8.5924, 8.5924 Å; angles 90.00, 90.00, 90.00 degrees
Atoms (fractional coordinates):
Rb 0.2500 0.2500 0.2500
Rb 0.2500 0.2500 0.7500
Rb 0.2500 0.7500 0.2500
Rb 0.2500 0.7500 0.7500
Rb 0.7500 0.2500 0.2500
Rb 0.7500 0.2500 0.7500
Rb 0.7500 0.7500 0.2500
Rb 0.7500 0.7500 0.7500
Mn 0.0000 0.0000 0.0000
Mn 0.0000 0.5000 0.5000
Mn 0.5000 0.0000 0.5000
Mn 0.5000 0.5000 0.0000
Cu 0.0000 0.0000 0.5000
Cu 0.0000 0.5000 0.0000
Cu 0.5000 0.0000 0.0000
Cu 0.5000 0.5000 0.5000

=====

Computed, not measured: a relaxed structure of MnReW2 at the GGA-PBE level of DFT.

Output
**Formation energy from the elements**: 0.34 eV per formula unit
**Crystal system**: orthorhombic
**Distance to the lowest polymorph of the same formula**: 0.002 eV/atom

Cell lengths 3.1616, 4.3807, 8.6048 Å; angles 90.00, 90.00, 90.00 degrees
Atoms (fractional coordinates):
Mn 0.0000 0.0000 0.0000
Mn 0.5000 0.5000 0.0000
Re 0.0000 0.5000 0.2329
Re 0.5000 0.0000 0.2329
W 0.0000 0.0000 0.4936
W 0.0000 0.5000 0.7589
W 0.5000 0.0000 0.7589
W 0.5000 0.5000 0.4936

=====

Computed, not measured: a relaxed structure of Mg6CdAg at the GGA-PBE level of DFT.

Output
**Formation energy from the elements**: -0.55 eV per formula unit
**Crystal system**: tetragonal
**Distance to the lowest polymorph of the same formula**: 0.037 eV/atom

Cell lengths 4.6241, 4.6241, 16.0721 Å; angles 90.00, 90.00, 90.00 degrees
Atoms (fractional coordinates):
Mg 0.0000 0.0000 0.2498
Mg 0.0000 0.0000 0.7502
Mg 0.0000 0.5000 0.1140
Mg 0.0000 0.5000 0.3860
Mg 0.0000 0.5000 0.6140
Mg 0.0000 0.5000 0.8860
Mg 0.5000 0.0000 0.1140
Mg 0.5000 0.0000 0.3860
Mg 0.5000 0.0000 0.6140
Mg 0.5000 0.0000 0.8860
Mg 0.5000 0.5000 0.2502
Mg 0.5000 0.5000 0.7498
Cd 0.0000 0.0000 0.0000
Cd 0.5000 0.5000 0.5000
Ag 0.0000 0.0000 0.5000
Ag 0.5000 0.5000 0.0000

=====

Computed, not measured: a relaxed structure of Y6Er2Tm3Mg at the GGA-PBE level of DFT.

Output
**Formation energy from the elements**: 0.45 eV per formula unit
**Crystal system**: monoclinic

Cell lengths 6.1063, 6.1063, 11.6275 Å; angles 95.06, 95.06, 120.02 degrees
Atoms (fractional coordinates):
Y 0.0848 0.4177 0.7512
Y 0.2490 0.2490 0.2496
Y 0.4177 0.0848 0.7512
Y 0.5823 0.9152 0.2488
Y 0.7510 0.7510 0.7504
Y 0.9152 0.5823 0.2488
Er 0.1663 0.8337 0.0000
Er 0.8337 0.1663 0.0000
Tm 0.0000 0.0000 0.5000
Tm 0.3341 0.6659 0.5000
Tm 0.6659 0.3341 0.5000
Mg 0.5000 0.5000 0.0000

=====

Computed, not measured: a relaxed structure of Sr2Li at the GGA-PBE level of DFT.

Output
**Formation energy from the elements**: 0.12 eV per formula unit
**Crystal system**: orthorhombic
**Distance to the lowest polymorph of the same formula**: 0.022 eV/atom

Cell lengths 7.9937, 5.9246, 11.1452 Å; angles 90.00, 90.00, 90.00 degrees
Atoms (fractional coordinates):
Sr 0.0353 0.2500 0.2011
Sr 0.1620 0.2500 0.5683
Sr 0.3380 0.7500 0.0683
Sr 0.4647 0.7500 0.7011
Sr 0.5353 0.2500 0.2989
Sr 0.6620 0.2500 0.9317
Sr 0.8380 0.7500 0.4317
Sr 0.9647 0.7500 0.7989
Li 0.2114 0.2500 0.8921
Li 0.2886 0.7500 0.3921
Li 0.7114 0.2500 0.6079
Li 0.7886 0.7500 0.1079

=====

Computed, not measured: a relaxed structure of PmPaReAg at the GGA-PBE level of DFT.

Output
**Formation energy from the elements**: 0.74 eV per formula unit
**Crystal system**: cubic

Cell lengths 7.1239, 7.1239, 7.1239 Å; angles 90.00, 90.00, 90.00 degrees
Atoms (fractional coordinates):
Pm 0.0000 0.0000 0.0000
Pm 0.0000 0.5000 0.5000
Pm 0.5000 0.0000 0.5000
Pm 0.5000 0.5000 0.0000
Pa 0.0000 0.0000 0.5000
Pa 0.0000 0.5000 0.0000
Pa 0.5000 0.0000 0.0000
Pa 0.5000 0.5000 0.5000
Re 0.2500 0.2500 0.7500
Re 0.2500 0.7500 0.2500
Re 0.7500 0.2500 0.2500
Re 0.7500 0.7500 0.7500
Ag 0.2500 0.2500 0.2500
Ag 0.2500 0.7500 0.7500
Ag 0.7500 0.2500 0.7500
Ag 0.7500 0.7500 0.2500

=====

Computed, not measured: a relaxed structure of ScMo at the GGA-PBE level of DFT.

Output
**Formation energy from the elements**: 1.14 eV per formula unit
**Crystal system**: hexagonal
**Distance to the lowest polymorph of the same formula**: 0.592 eV/atom

Cell lengths 10.0821, 10.0821, 2.8048 Å; angles 90.00, 90.00, 120.00 degrees
Atoms (fractional coordinates):
Sc 0.0688 0.3216 0.2500
Sc 0.2528 0.9312 0.2500
Sc 0.3216 0.2528 0.7500
Sc 0.6784 0.7472 0.2500
Sc 0.7472 0.0688 0.7500
Sc 0.9312 0.6784 0.7500
Mo 0.1529 0.6202 0.2500
Mo 0.3798 0.5327 0.2500
Mo 0.4673 0.8471 0.2500
Mo 0.5327 0.1529 0.7500
Mo 0.6202 0.4673 0.7500
Mo 0.8471 0.3798 0.7500

=====

Computed, not measured: a relaxed structure of GaMo3As at the GGA-PBE level of DFT.

Output
**Formation energy from the elements**: 5.40 eV per formula unit
**Crystal system**: cubic
**Distance to the lowest polymorph of the same formula**: 0.000 eV/atom

Cell lengths 4.6063, 4.6063, 4.6063 Å; angles 90.00, 90.00, 90.00 degrees
Atoms (fractional coordinates):
Ga 0.0000 0.0000 0.0000
Mo 0.0000 0.5000 0.5000
Mo 0.5000 0.0000 0.5000
Mo 0.5000 0.5000 0.0000
As 0.5000 0.5000 0.5000

=====

Computed, not measured: a relaxed structure of Ca2IrPt at the GGA-PBE level of DFT.

Output
**Formation energy from the elements**: -0.93 eV per formula unit
**Crystal system**: orthorhombic

Cell lengths 2.9444, 4.9361, 5.7921 Å; angles 90.00, 90.00, 90.00 degrees
Atoms (fractional coordinates):
Ca 0.0000 0.0000 0.0000
Ca 0.5000 0.5000 0.3853
Ir 0.0000 0.0000 0.5046
Pt 0.5000 0.5000 0.8762